Entry 1:
Pm8CoRu3I4 after structural relaxation. Source: Alexandria, functional PBE.

Structure (POSCAR):
```
Pm8CoRu3I4
1.0
-6.629 4.551 -1.631
-4.540 -4.036 7.182
7.114 3.639 1.854
Pm I Ru Co
8 4 3 1
Direct
0.731 0.684 0.957
0.227 0.684 0.958
0.271 0.314 0.542
0.269 0.316 0.043
0.773 0.316 0.546
0.729 0.686 0.458
0.227 0.684 0.454
0.773 0.316 0.042
0.000 0.000 0.500
0.500 0.000 0.000
0.000 0.000 0.000
0.500 0.000 0.500
0.500 0.500 0.000
0.500 0.500 0.500
0.000 0.500 0.500
0.000 0.500 0.000
```

=====

Entry 2:
Pm6Co2SI3 after structural relaxation. Source: Alexandria, functional PBE.

Structure (POSCAR):
```
Pm6Co2SI3
1.0
7.145 0.000 0.003
-3.570 6.189 0.003
-1.190 -2.060 7.896
I Pm Co S
3 6 2 1
Direct
0.164 0.836 0.500
0.500 0.500 0.500
0.836 0.164 0.500
0.708 0.708 0.182
0.414 0.061 0.183
0.292 0.292 0.818
0.939 0.586 0.817
0.061 0.414 0.183
0.586 0.939 0.817
0.333 0.667 0.000
0.667 0.333 0.000
0.000 0.000 0.000
```

=====

Entry 3:
Pm8CoS3I4 after structural relaxation. Source: Alexandria, functional PBE.

Structure (POSCAR):
```
Pm8CoS3I4
1.0
-5.063 -6.104 -2.414
6.982 -4.256 -3.880
0.693 1.872 8.046
S Pm I Co
3 8 4 1
Direct
0.000 0.500 0.500
0.500 0.500 0.000
0.500 0.500 0.500
0.729 0.688 0.459
0.271 0.312 0.541
0.780 0.314 0.559
0.254 0.314 0.034
0.780 0.314 0.034
0.220 0.686 0.441
0.220 0.686 0.966
0.746 0.686 0.966
0.500 0.000 0.000
0.000 0.000 0.500
0.500 0.000 0.500
0.000 0.000 0.000
0.000 0.500 0.000
```

=====

Entry 4:
Pm4CoSeI2 after structural relaxation. Source: Alexandria, functional PBE.

Structure (POSCAR):
```
Pm4CoSeI2
1.0
-1.209 3.288 -2.059
-2.607 -4.468 -5.604
-6.157 1.008 5.224
Pm Co I Se
4 1 2 1
Direct
0.500 0.198 0.183
0.500 0.802 0.817
0.000 0.754 0.191
0.000 0.246 0.809
0.000 0.000 0.000
0.000 0.500 0.500
0.500 0.000 0.500
0.500 0.500 0.000
```

=====

Entry 5:
PmSmCoI after structural relaxation. Source: Alexandria, functional PBE.

Structure (POSCAR):
```
PmSmCoI
1.0
4.029 0.000 0.001
-2.014 3.489 0.001
-2.013 -1.160 8.053
Sm Pm I Co
1 1 1 1
Direct
0.515 0.155 0.687
0.091 0.944 0.049
0.968 0.382 0.366
0.303 0.549 0.867
```

=====

Entry 6:
TbPmCoI after structural relaxation. Source: Alexandria, functional PBE.

Structure (POSCAR):
```
TbPmCoI
1.0
-2.048 -0.132 3.427
2.624 -2.881 -0.869
6.276 5.223 1.625
Tb Pm Co I
1 1 1 1
Direct
0.091 0.944 0.049
0.516 0.156 0.688
0.306 0.551 0.872
0.965 0.380 0.360
```

=====

Entry 7:
Pm4CoTeI2 after structural relaxation. Source: Alexandria, functional PBE.

Structure (POSCAR):
```
Pm4CoTeI2
1.0
4.149 0.000 0.000
0.000 7.946 0.308
0.000 -2.622 7.732
Co Te Pm I
1 1 4 2
Direct
0.500 0.500 0.000
0.000 0.000 0.000
0.000 0.309 0.817
0.500 0.279 0.196
0.000 0.691 0.183
0.500 0.721 0.804
0.500 0.000 0.500
0.000 0.500 0.500
```

=====

Entry 8:
PmThCoI after structural relaxation. Source: Alexandria, functional PBE.

Structure (POSCAR):
```
PmThCoI
1.0
4.053 -0.013 -0.005
-2.037 3.537 0.000
-2.032 -1.176 8.138
Co Pm I Th
1 1 1 1
Direct
0.312 0.554 0.881
0.516 0.157 0.686
0.970 0.383 0.367
0.079 0.937 0.036
```

=====

Number 1: magnetic moment 0.00 μB per formula unit, E_form (uncorrected) -9.73 eV/f.u.. Number 2: magnetic moment 0.00 μB per formula unit, E_form (uncorrected) -10.76 eV/f.u.. Number 3: magnetic moment 0.00 μB per formula unit, E_form (uncorrected) -19.91 eV/f.u.. Number 4: magnetic moment 0.00 μB per formula unit, E_form (uncorrected) -7.86 eV/f.u.. Number 5: magnetic moment 0.00 μB per formula unit, E_form (uncorrected) -2.28 eV/f.u.. Number 6: magnetic moment 0.00 μB per formula unit, E_form (uncorrected) -2.29 eV/f.u.. Number 7: magnetic moment 0.00 μB per formula unit, E_form (uncorrected) -6.94 eV/f.u.. Number 8: magnetic moment 0.00 μB per formula unit, E_form (uncorrected) -2.41 eV/f.u..